Computed, not measured: crystalline CsTlTe2 at its relaxed geometry at the GGA-PBE level of DFT.

POSCAR file:
```
CsTlTe2
1.0
-3.4678 8.0393 0.9083
-8.0408 -3.5341 0.5804
-5.2546 1.9170 5.6230
Te Tl Cs
4 2 2
Direct
0.8750 0.9619 0.7500 Te
0.7119 0.1250 0.2500 Te
0.3750 0.2881 0.7500 Te
0.0381 0.6250 0.2500 Te
0.0000 0.0000 0.0000 Tl
0.7500 0.2500 0.5000 Tl
0.2500 0.7500 0.5000 Cs
0.5000 0.5000 0.0000 Cs
```

- Total magnetization: 0.0000 μB/atom
- Final energy: -2.8977 eV/atom
- Energy relative to the elements, uncorrected: -0.522 eV per atom

=====

Computed, not measured: crystalline CdBrF6 at its relaxed geometry at the GGA-PBE level of DFT.

POSCAR file:
```
CdBrF6
1.0
-3.2631 1.7991 1.0532
-3.1004 -3.8768 -1.5423
4.6724 0.0871 6.0003
Cd F Br
1 6 1
Direct
0.0000 0.0000 0.5000 Cd
0.0960 0.6002 0.7452 F
0.2366 0.2410 0.9494 F
0.7634 0.7590 0.0506 F
0.4128 0.0854 0.3724 F
0.9040 0.3998 0.2548 F
0.5872 0.9146 0.6276 F
0.0000 0.0000 0.0000 Br
```

- Total magnetization: 0.1272 μB/atom
- Final energy: -2.9902 eV/atom
- Energy relative to the elements, uncorrected: -1.263 eV per atom

=====

Computed, not measured: crystalline Pm2AgBr at its relaxed geometry at the GGA-PBE level of DFT.

POSCAR file:
```
Pm2AgBr
1.0
-3.1153 -1.2298 -1.1496
1.5011 -0.9346 -3.0680
1.8100 -7.5676 3.1908
Ag Br Pm
1 1 2
Direct
0.5000 0.5000 0.0000 Ag
0.5000 0.5000 0.5000 Br
0.0000 0.0000 0.7663 Pm
0.0000 0.0000 0.2337 Pm
```

- Total magnetization: 0.0003 μB/atom
- Polymorph energy (0 for the lowest one): 38 meV/atom
- Final energy: -4.0953 eV/atom
- Energy relative to the elements, uncorrected: -0.589 eV per atom